1 | VASP calculation (PBE) on crystalline KTaC2 at its relaxed geometry.

extended XYZ file:
```
8
Lattice="6.2396 0.0000 0.0000 0.0000 6.2396 0.0000 3.1198 3.1198 4.6827" Properties=species:S:1:pos:R:3 pbc="T T T"
K 3.1198 3.1198 0.0000
K 3.1198 6.2396 2.3414
C 5.7041 1.5599 1.1707
C 6.7751 4.6797 1.1707
C 4.6797 3.6553 3.5120
C 7.7995 2.5843 3.5120
Ta 0.0000 0.0000 0.0000
Ta 6.2396 3.1198 2.3414
```

Values from the calculation:
For the density of states at the Fermi level, the calculation gives 5.6 states/eV/cell.



2 | VASP calculation (PBE) on crystalline KTaC2 at its relaxed geometry.

extended XYZ file:
```
4
Lattice="-1.9998 -3.6596 0.3946 0.3367 -2.1988 3.5496 -3.2828 -0.3252 2.5818" Properties=species:S:1:pos:R:3 pbc="T T T"
K 0.0000 0.0000 0.0000
C -1.2365 -1.5459 1.6315
C -3.7094 -4.6377 4.8945
Ta -2.4729 -3.0918 3.2630
```

Values from the calculation:
For the density of states at the Fermi level, the calculation gives 2.3 states/eV/cell.



The relative energies come out as 1 0.000; 2 1.404, with values in eV/atom.



1 | VASP calculation (PBE) on crystalline KTaC3 at its relaxed geometry.

extended XYZ file:
```
5
Lattice="-2.0505 -3.6822 -0.8263 3.7313 -2.1189 0.1830 -0.5645 -0.6305 4.2107" Properties=species:S:1:pos:R:3 pbc="T T T"
K 0.5581 -3.2158 1.7836
C 1.8656 -1.0595 0.0915
C -0.2823 -0.3153 2.1053
C -1.0253 -1.8411 -0.4132
Ta 0.0000 0.0000 0.0000
```

Values from the calculation:
For the density of states at the Fermi level, the calculation gives 2.2 states/eV/cell.



2 | VASP calculation (PBE) on crystalline KTaC3 at its relaxed geometry.

extended XYZ file:
```
5
Lattice="-0.5659 3.7480 1.2088 -2.3865 0.6450 -3.1173 -3.1326 -1.1685 2.1565" Properties=species:S:1:pos:R:3 pbc="T T T"
K 0.0000 0.0000 0.0000
C -1.1932 0.3225 -1.5586
C -1.5663 -0.5842 1.0782
C -0.2829 1.8740 0.6044
Ta -3.0425 1.6123 0.1240
```

Values from the calculation:
For the density of states at the Fermi level, the calculation gives 2.8 states/eV/cell.



The relative energies come out as 1 0.000; 2 2.522, with values in eV/atom.